Record 1
Material: FeIrRh2
Method: DFT, GGA-PBEsol
State: relaxed

Cell lengths 2.664, 3.735, 5.270 Å; angles 90.00, 90.02, 90.00 degrees
Positions (direct):
Ir 0.500 0.500 0.500
Rh 0.000 0.000 0.754
Rh 0.000 0.000 0.246
Fe 0.500 0.500 0.000

Properties
volume	13.11	Å³/atom
M_tot	2.53	Bohr magnetons per cell
E_tot	-35.1	eV per formula unit


Record 2
Material: FeIr2Rh
Method: DFT, GGA-PBEsol
State: relaxed

Cell lengths 2.668, 3.704, 5.343 Å; angles 90.00, 90.00, 90.00 degrees
Positions (direct):
Ir 0.000 0.000 0.743
Ir 0.000 0.000 0.257
Rh 0.500 0.500 0.000
Fe 0.500 0.500 0.500

Properties
volume	13.20	Å³/atom
M_tot	2.12	Bohr magnetons per cell
E_tot	-36.8	eV per formula unit


Record 3
Material: FeIrRh
Method: DFT, GGA-PBEsol
State: relaxed

Cell lengths 4.057, 4.057, 4.057 Å; angles 60.00, 60.00, 60.00 degrees
Positions (direct):
Fe 0.000 0.000 0.000
Ir 0.500 0.500 0.500
Rh 0.250 0.250 0.250

Properties
volume	15.74	Å³/atom
M_tot	2.95	Bohr magnetons per cell
E_tot	-24.7	eV per formula unit


Record 4
Material: FeIrRh2
Method: DFT, GGA-PBEsol
State: relaxed

Cell lengths 2.662, 2.662, 8.701 Å; angles 81.20, 81.20, 60.00 degrees
Positions (direct):
Ir 0.000 0.000 0.000
Rh 0.247 0.247 0.260
Rh 0.753 0.753 0.740
Fe 0.500 0.500 0.500

Properties
volume	13.14	Å³/atom
M_tot	2.68	Bohr magnetons per cell
E_tot	-35.0	eV per formula unit


Record 5
Material: FeIr2Rh
Method: DFT, GGA-PBEsol
State: relaxed

Cell lengths 2.672, 2.672, 8.696 Å; angles 81.16, 81.16, 60.00 degrees
Positions (direct):
Ir 0.254 0.254 0.239
Ir 0.746 0.746 0.761
Rh 0.500 0.500 0.500
Fe 0.000 0.000 0.000

Properties
volume	13.23	Å³/atom
M_tot	2.12	Bohr magnetons per cell
E_tot	-36.9	eV per formula unit


Record 6
Material: FeIr2Rh
Method: DFT, GGA-PBEsol
State: relaxed

Cell lengths 2.669, 4.574, 4.574 Å; angles 108.77, 90.00, 90.00 degrees
Positions (direct):
Ir 0.000 0.500 0.000
Ir 0.000 0.000 0.500
Rh 0.500 0.000 0.000
Fe 0.500 0.500 0.500

Properties
volume	13.22	Å³/atom
M_tot	2.36	Bohr magnetons per cell
E_tot	-36.8	eV per formula unit


Record 7
Material: Fe2IrRh
Method: DFT, GGA-PBEsol
State: relaxed

Cell lengths 2.959, 4.202, 4.202 Å; angles 90.00, 90.00, 90.00 degrees
Positions (direct):
Fe 0.000 0.000 0.500
Fe 0.000 0.500 0.000
Ir 0.500 0.500 0.500
Rh 0.500 0.000 0.000

Properties
volume	13.06	Å³/atom
M_tot	8.16	Bohr magnetons per cell
E_tot	-35.6	eV per formula unit


Record 8
Material: FeIrRh
Method: DFT, GGA-PBEsol
State: relaxed

Cell lengths 2.662, 2.662, 5.745 Å; angles 103.40, 103.40, 90.00 degrees
Positions (direct):
Ir 0.660 0.660 0.320
Rh 0.339 0.339 0.678
Fe 0.001 0.001 0.002

Properties
volume	12.82	Å³/atom
M_tot	1.98	Bohr magnetons per cell
E_tot	-27.0	eV per formula unit


Record 9
Material: FeIr2Rh
Method: DFT, GGA-PBEsol
State: relaxed

Cell lengths 3.774, 3.774, 4.585 Å; angles 114.30, 114.30, 90.00 degrees
Positions (direct):
Ir 0.750 0.250 0.500
Ir 0.250 0.750 0.500
Rh 0.500 0.500 0.000
Fe 0.000 0.000 0.000

Properties
volume	13.27	Å³/atom
M_tot	2.85	Bohr magnetons per cell
E_tot	-36.9	eV per formula unit


Record 10
Material: Fe2IrRh
Method: DFT, GGA-PBEsol
State: relaxed

Cell lengths 2.665, 2.665, 7.012 Å; angles 90.00, 90.00, 90.00 degrees
Positions (direct):
Ir 0.000 0.000 0.485
Rh 0.500 0.500 0.762
Fe 0.000 0.000 0.011
Fe 0.500 0.500 0.242

Properties
volume	12.45	Å³/atom
M_tot	4.49	Bohr magnetons per cell
E_tot	-35.7	eV per formula unit


Record 11
Material: FeIrRh2
Method: DFT, GGA-PBEsol
State: relaxed

Cell lengths 2.661, 3.696, 5.320 Å; angles 90.00, 90.00, 90.00 degrees
Positions (direct):
Ir 0.500 0.500 0.744
Rh 0.000 0.000 0.999
Rh 0.500 0.500 0.256
Fe 0.000 0.000 0.501

Properties
volume	13.08	Å³/atom
M_tot	2.35	Bohr magnetons per cell
E_tot	-35.1	eV per formula unit


Record 12
Material: FeIrRh2
Method: DFT, GGA-PBEsol
State: relaxed

Cell lengths 2.666, 4.574, 4.588 Å; angles 100.25, 90.00, 106.94 degrees
Positions (direct):
Fe 0.501 0.002 0.499
Ir 0.247 0.494 0.748
Rh 0.998 0.997 0.996
Rh 0.754 0.507 0.257

Properties
volume	13.14	Å³/atom
M_tot	2.85	Bohr magnetons per cell
E_tot	-35.1	eV per formula unit


Record 13
Material: Fe2SiIrRh
Method: DFT, GGA-PBEsol
State: relaxed

Cell lengths 4.565, 4.565, 4.370 Å; angles 90.00, 90.00, 90.00 degrees
Positions (direct):
Si 0.000 0.000 0.500
Ir 0.000 0.000 0.000
Rh 0.500 0.500 0.500
Fe 0.000 0.500 0.000
Fe 0.500 0.000 0.000

Properties
volume	18.21	Å³/atom
M_tot	7.11	Bohr magnetons per cell
E_tot	-35.7	eV per formula unit


Record 14
Material: Fe2IrRu
Method: DFT, GGA-PBEsol
State: relaxed

Cell lengths 2.582, 3.555, 5.171 Å; angles 90.00, 90.00, 90.00 degrees
Positions (direct):
Fe 0.000 0.000 0.746
Fe 0.000 0.000 0.254
Ir 0.500 0.500 0.000
Ru 0.500 0.500 0.500

Properties
volume	11.87	Å³/atom
M_tot	0.00	Bohr magnetons per cell
E_tot	-37.7	eV per formula unit


Record 15
Material: FeIr2Ru
Method: DFT, GGA-PBEsol
State: relaxed

Cell lengths 2.667, 3.718, 5.298 Å; angles 90.00, 90.00, 90.00 degrees
Positions (direct):
Ru 0.000 0.000 0.506
Ir 0.000 0.000 0.988
Ir 0.500 0.500 0.257
Fe 0.500 0.500 0.749

Properties
volume	13.13	Å³/atom
M_tot	1.84	Bohr magnetons per cell
E_tot	-38.7	eV per formula unit


Record 16
Material: FeIr2Ru
Method: DFT, GGA-PBEsol
State: relaxed

Cell lengths 2.671, 2.671, 7.368 Å; angles 90.00, 90.00, 90.00 degrees
Positions (direct):
Ru 0.500 0.500 0.000
Ir 0.000 0.000 0.743
Ir 0.000 0.000 0.257
Fe 0.500 0.500 0.500

Properties
volume	13.14	Å³/atom
M_tot	2.34	Bohr magnetons per cell
E_tot	-38.9	eV per formula unit


Record 17
Material: FeIr2Ru
Method: DFT, GGA-PBEsol
State: relaxed

Cell lengths 3.745, 3.745, 4.596 Å; angles 114.04, 114.04, 90.00 degrees
Positions (direct):
Ru 0.500 0.500 0.000
Ir 0.750 0.250 0.500
Ir 0.250 0.750 0.500
Fe 0.000 0.000 0.000

Properties
volume	13.17	Å³/atom
M_tot	2.20	Bohr magnetons per cell
E_tot	-38.9	eV per formula unit


Record 18
Material: FeIr2Ru
Method: DFT, GGA-PBEsol
State: relaxed

Cell lengths 2.667, 4.593, 4.581 Å; angles 99.98, 90.00, 106.88 degrees
Positions (direct):
Ru 0.500 0.000 0.000
Ir 0.748 0.496 0.747
Ir 0.252 0.504 0.253
Fe 0.000 0.000 0.500

Properties
volume	13.20	Å³/atom
M_tot	2.16	Bohr magnetons per cell
E_tot	-38.8	eV per formula unit


Record 19
Material: FeIrRu
Method: DFT, GGA-PBEsol
State: relaxed

Cell lengths 2.649, 3.671, 4.537 Å; angles 113.86, 106.98, 90.00 degrees
Positions (direct):
Ru 0.336 0.336 0.672
Ir 0.665 0.665 0.330
Fe 0.999 0.999 0.998

Properties
volume	12.74	Å³/atom
M_tot	1.62	Bohr magnetons per cell
E_tot	-28.9	eV per formula unit


Record 20
Material: FeIr2Ru
Method: DFT, GGA-PBEsol
State: relaxed

Cell lengths 2.667, 4.586, 4.571 Å; angles 100.03, 90.00, 106.91 degrees
Positions (direct):
Ru 0.502 0.004 0.502
Ir 0.997 0.994 0.991
Ir 0.750 0.501 0.257
Fe 0.250 0.501 0.750

Properties
volume	13.15	Å³/atom
M_tot	2.10	Bohr magnetons per cell
E_tot	-38.8	eV per formula unit


Record 21
Material: FeIr2Ru
Method: DFT, GGA-PBEsol
State: relaxed

Cell lengths 2.672, 3.712, 5.305 Å; angles 90.00, 90.00, 90.00 degrees
Positions (direct):
Ru 0.500 0.500 0.000
Ir 0.000 0.000 0.745
Ir 0.000 0.000 0.255
Fe 0.500 0.500 0.500

Properties
volume	13.15	Å³/atom
M_tot	2.10	Bohr magnetons per cell
E_tot	-38.9	eV per formula unit


Record 22
Material: FeIr2Ru
Method: DFT, GGA-PBEsol
State: relaxed

Cell lengths 3.719, 3.719, 4.566 Å; angles 114.03, 114.03, 90.00 degrees
Positions (direct):
Ru 0.500 0.500 0.000
Ir 0.000 0.000 0.000
Ir 0.750 0.250 0.500
Fe 0.250 0.750 0.500

Properties
volume	12.91	Å³/atom
M_tot	0.00	Bohr magnetons per cell
E_tot	-38.8	eV per formula unit


Record 23
Material: Fe2IrRu
Method: DFT, GGA-PBEsol
State: relaxed

Cell lengths 4.175, 4.175, 4.175 Å; angles 60.00, 60.00, 60.00 degrees
Positions (direct):
Fe 0.000 0.000 0.000
Fe 0.750 0.750 0.750
Ir 0.500 0.500 0.500
Ru 0.250 0.250 0.250

Properties
volume	12.87	Å³/atom
M_tot	6.39	Bohr magnetons per cell
E_tot	-36.8	eV per formula unit


Record 24
Material: FeIr2Ru
Method: DFT, GGA-PBEsol
State: relaxed

Cell lengths 2.661, 4.561, 4.561 Å; angles 109.19, 90.00, 90.00 degrees
Positions (direct):
Ru 0.500 0.000 0.000
Ir 0.000 0.500 0.000
Ir 0.000 0.000 0.500
Fe 0.500 0.500 0.500

Properties
volume	13.07	Å³/atom
M_tot	1.43	Bohr magnetons per cell
E_tot	-38.7	eV per formula unit


Record 25
Material: FeIrRu
Method: DFT, GGA-PBEsol
State: relaxed

Cell lengths 3.935, 3.935, 3.935 Å; angles 60.00, 60.00, 60.00 degrees
Positions (direct):
Fe 0.250 0.250 0.250
Ir 0.000 0.000 0.000
Ru 0.500 0.500 0.500

Properties
volume	14.36	Å³/atom
M_tot	1.80	Bohr magnetons per cell
E_tot	-27.4	eV per formula unit


Record 26
Material: FeIr3Ru
Method: DFT, GGA-PBEsol
State: relaxed

Cell lengths 4.597, 4.597, 4.597 Å; angles 90.00, 90.00, 90.00 degrees
Positions (direct):
Ru 0.000 0.000 0.000
Ir 0.000 0.500 0.000
Ir 0.000 0.000 0.500
Ir 0.500 0.000 0.000
Fe 0.500 0.500 0.500

Properties
volume	19.43	Å³/atom
M_tot	3.67	Bohr magnetons per cell
E_tot	-37.5	eV per formula unit


Record 27
Material: FeSb3Ir
Method: DFT, GGA-PBEsol
State: relaxed

Cell lengths 4.721, 4.721, 4.721 Å; angles 90.00, 90.00, 90.00 degrees
Positions (direct):
Sb 0.000 0.500 0.000
Sb 0.000 0.000 0.500
Sb 0.500 0.000 0.000
Ir 0.500 0.500 0.500
Fe 0.000 0.000 0.000

Properties
volume	21.04	Å³/atom
M_tot	0.46	Bohr magnetons per cell
E_tot	-28.7	eV per formula unit


Record 28
Material: Fe2SbIr
Method: DFT, GGA-PBEsol
State: relaxed

Cell lengths 3.782, 3.775, 3.933 Å; angles 90.00, 90.00, 90.00 degrees
Positions (direct):
Fe 0.000 0.000 0.000
Fe 0.500 0.500 0.000
Ir 0.500 0.000 0.500
Sb 0.000 0.500 0.500

Properties
volume	14.04	Å³/atom
M_tot	4.51	Bohr magnetons per cell
E_tot	-31.8	eV per formula unit


Record 29
Material: FeTcSb2Ir
Method: DFT, GGA-PBEsol
State: relaxed

Cell lengths 4.364, 4.954, 4.954 Å; angles 90.00, 90.00, 90.00 degrees
Positions (direct):
Sb 0.000 0.000 0.500
Sb 0.000 0.500 0.000
Ir 0.500 0.500 0.500
Tc 0.000 0.000 0.000
Fe 0.500 0.000 0.000

Properties
volume	21.42	Å³/atom
M_tot	2.97	Bohr magnetons per cell
E_tot	-32.3	eV per formula unit


Record 30
Material: ZnFeSb2Ir
Method: DFT, GGA-PBEsol
State: relaxed

Cell lengths 4.409, 4.663, 4.663 Å; angles 90.00, 90.00, 90.00 degrees
Positions (direct):
Sb 0.000 0.000 0.500
Sb 0.000 0.500 0.000
Zn 0.500 0.000 0.000
Ir 0.500 0.500 0.500
Fe 0.000 0.000 0.000

Properties
volume	19.17	Å³/atom
M_tot	0.00	Bohr magnetons per cell
E_tot	-25.7	eV per formula unit


Record 31
Material: ScFeIr2
Method: DFT, GGA-PBEsol
State: relaxed

Cell lengths 3.795, 3.795, 4.804 Å; angles 113.26, 113.26, 90.00 degrees
Positions (direct):
Fe 0.250 0.750 0.500
Ir 0.000 0.000 0.000
Ir 0.750 0.250 0.500
Sc 0.500 0.500 0.000

Properties
volume	14.34	Å³/atom
M_tot	2.07	Bohr magnetons per cell
E_tot	-36.5	eV per formula unit